# 1
TaTlOs2 after structural relaxation. Source: Alexandria via LeMat-Bulk, functional PBE.

energy relative to the lowest polymorph listed for this composition = 0.215 eV/atom
ΔH_f (0 K) = 11.44 kcal/mol of atoms
crystal system = orthorhombic
SG = Cmmm

Lattice parameters (Å, degrees): 2.9194 2.9194 9.1733 90.00 90.00 113.95
Fractional positions:
Ta (0.0000, 0.0000, 0.0000)
Tl (0.0000, 0.0000, 0.5000)
Os (0.5000, 0.5000, 0.2243)
Os (0.5000, 0.5000, 0.7757)

=====

# 2
TcHgMo3 after structural relaxation. Source: Alexandria via LeMat-Bulk, functional PBE.

energy relative to the lowest polymorph listed for this composition = 1.444 eV/atom
ΔH_f (0 K) = 68.30 kcal/mol of atoms
crystal system = cubic
SG = Pm-3m

Lattice parameters (Å, degrees): 4.8681 4.8681 4.8681 90.00 90.00 90.00
Fractional positions:
Tc (0.0000, 0.0000, 0.0000)
Hg (0.5000, 0.5000, 0.5000)
Mo (0.0000, 0.5000, 0.5000)
Mo (0.5000, 0.0000, 0.5000)
Mo (0.5000, 0.5000, 0.0000)

=====

# 3
Na2LiP3H8O13 after structural relaxation. Source: Alexandria via LeMat-Bulk, functional PBE.

final energy = -5.861 eV/atom
crystal system = triclinic
SG = P-1

Lattice parameters (Å, degrees): 6.9572 9.5637 9.9582 94.86 104.44 108.44
Fractional positions:
Na (0.0605, 0.4484, 0.3402)
Na (0.3115, 0.8360, 0.5347)
Na (0.6885, 0.1640, 0.4653)
Na (0.9395, 0.5516, 0.6597)
Li (0.1257, 0.2389, 0.1111)
Li (0.8743, 0.7611, 0.8889)
P (0.2266, 0.2068, 0.5290)
P (0.3107, 0.2695, 0.8340)
P (0.4271, 0.5146, 0.6818)
P (0.5729, 0.4854, 0.3182)
P (0.6893, 0.7305, 0.1660)
P (0.7734, 0.7932, 0.4710)
H (0.0408, 0.9548, 0.1425)
H (0.0716, 0.7204, 0.2094)
H (0.1908, 0.0655, 0.2833)
H (0.2471, 0.7202, 0.9604)
H (0.2466, 0.8163, 0.8434)
H (0.2935, 0.7083, 0.2311)
H (0.4114, 0.0612, 0.1814)
H (0.4626, 0.0468, 0.8234)
H (0.5374, 0.9532, 0.1766)
H (0.5886, 0.9388, 0.8186)
H (0.7065, 0.2917, 0.7689)
H (0.7534, 0.1837, 0.1566)
H (0.7529, 0.2798, 0.0396)
H (0.8092, 0.9345, 0.7167)
H (0.9284, 0.2796, 0.7906)
H (0.9592, 0.0452, 0.8575)
O (0.0319, 0.2273, 0.4427)
O (0.1481, 0.7395, 0.8807)
O (0.1531, 0.0544, 0.1787)
O (0.1538, 0.2303, 0.9176)
O (0.1814, 0.6975, 0.2779)
O (0.1876, 0.1669, 0.6788)
O (0.2682, 0.5775, 0.6049)
O (0.3127, 0.0977, 0.4696)
O (0.3362, 0.4373, 0.8057)
O (0.3441, 0.3919, 0.2574)
O (0.4224, 0.3667, 0.5840)
O (0.4426, 0.9418, 0.7894)
O (0.4774, 0.7489, 0.1159)
O (0.5226, 0.2511, 0.8841)
O (0.5574, 0.0582, 0.2106)
O (0.5776, 0.6333, 0.4160)
O (0.6559, 0.6081, 0.7426)
O (0.6638, 0.5627, 0.1943)
O (0.6873, 0.9023, 0.5304)
O (0.7318, 0.4225, 0.3951)
O (0.8124, 0.8331, 0.3212)
O (0.8186, 0.3025, 0.7221)
O (0.8462, 0.7697, 0.0824)
O (0.8469, 0.9456, 0.8213)
O (0.8519, 0.2605, 0.1193)
O (0.9681, 0.7727, 0.5573)

=====

# 4
BaLiInP2 after structural relaxation. Source: Alexandria via LeMat-Bulk, functional PBE.

ΔH_f (0 K) = -16.05 kcal/mol of atoms
crystal system = monoclinic
SG = C2/m

Lattice parameters (Å, degrees): 6.9144 6.9144 9.2649 97.93 97.93 36.48
Fractional positions:
Ba (0.1579, 0.1579, 0.1785)
Ba (0.8421, 0.8421, 0.8215)
Li (0.1771, 0.1771, 0.5592)
Li (0.8229, 0.8229, 0.4408)
In (0.4408, 0.4408, 0.3197)
In (0.5592, 0.5592, 0.6803)
P (0.1286, 0.1286, 0.8256)
P (0.3681, 0.3681, 0.5752)
P (0.6319, 0.6319, 0.4248)
P (0.8714, 0.8714, 0.1744)

=====

Question: What is the formula in the fourth record?
Answer: BaLiInP2